DFT (PBE-GGA) results for a relaxed structure of KScGa3.

Computed properties:
N(E_F)	7.210	states/eV per cell
total DFT energy (no corrections)	-2.250	eV per atom

Cell: 5.3260 5.3260 5.3260 Å, 90.00 90.00 90.00°
With the nearest neighbours (Å) after each atom.
Fractional positions:
Sc1 0.5000 0.5000 0.5000  12 Ga 3.77
K1 0.0000 0.0000 0.0000  6 Ga 2.66
Ga1 0.0000 0.5000 0.0000  2 K 2.66
Ga2 0.0000 0.0000 0.5000  2 K 2.66
Ga3 0.5000 0.0000 0.0000  2 K 2.66



DFT (PBE-GGA) results for a relaxed structure of Dy3Y6Mg.

Computed properties:
N(E_F)	29.561	states/eV per cell
total DFT energy (no corrections)	-5.398	eV per atom

Cell: 5.0231 11.1346 11.2068 Å, 90.42 90.00 90.00°
With the nearest neighbours (Å) after each atom.
Fractional positions:
Dy1 0.2500 0.5509 0.4000  8 Y 3.52-3.59, 4 Dy 3.53-3.56
Dy2 0.7500 0.4491 0.6000  8 Y 3.52-3.59, 4 Dy 3.53-3.56
Dy3 0.2500 0.3481 0.7966  8 Y 3.52-3.59, 4 Dy 3.53-3.55
Dy4 0.7500 0.6519 0.2034  8 Y 3.52-3.59, 4 Dy 3.53-3.55
Dy5 0.2500 0.7515 0.0039  10 Y 3.52-3.58, 2 Dy 3.55
Dy6 0.7500 0.2485 0.9961  10 Y 3.52-3.58, 2 Dy 3.55
Y1 0.2500 0.4492 0.1018  5 Y 3.50-3.58, 7 Dy 3.52-3.59
Y2 0.7500 0.5508 0.8982  5 Y 3.50-3.58, 7 Dy 3.52-3.59
Y3 0.2500 0.1507 0.1969  8 Y 3.50-3.55, 2 Dy 3.55, 2 Mg 3.58
Y4 0.7500 0.8493 0.8031  8 Y 3.50-3.55, 2 Dy 3.55, 2 Mg 3.58
Y5 0.2500 0.6524 0.6997  1 Mg 3.52, 6 Y 3.52-3.55, 5 Dy 3.54-3.58
Y6 0.7500 0.3476 0.3003  1 Mg 3.52, 6 Y 3.52-3.55, 5 Dy 3.54-3.58
Y7 0.2500 0.2454 0.4989  3 Mg 3.47-3.50, 5 Y 3.51-3.55, 4 Dy 3.52-3.59
Y8 0.7500 0.7546 0.5011  3 Mg 3.47-3.50, 5 Y 3.51-3.55, 4 Dy 3.52-3.59
Y9 0.2500 0.8526 0.3062  3 Mg 3.46-3.49, 5 Y 3.51-3.58, 4 Dy 3.53-3.56
Y10 0.7500 0.1474 0.6938  3 Mg 3.46-3.49, 5 Y 3.51-3.58, 4 Dy 3.53-3.56
Y11 0.2500 0.0487 0.8985  7 Y 3.51-3.58, 1 Mg 3.52, 4 Dy 3.52-3.53
Y12 0.7500 0.9513 0.1015  7 Y 3.51-3.58, 1 Mg 3.52, 4 Dy 3.52-3.53
Mg1 0.2500 0.9510 0.5995  10 Y 3.46-3.58, 2 Mg 3.54
Mg2 0.7500 0.0490 0.4005  10 Y 3.46-3.58, 2 Mg 3.54



DFT (PBE-GGA) results for a relaxed structure of AlV3Tc.

Computed properties:
energy relative to the lowest polymorph listed for this composition	1.455	eV/atom
N(E_F)	8.236	states/eV per cell
total DFT energy (no corrections)	-6.866	eV per atom

Cell: 4.3629 4.3629 4.3629 Å, 90.00 90.00 90.00°
With the nearest neighbours (Å) after each atom.
Fractional positions:
Tc1 0.5000 0.5000 0.5000  12 V 3.09
Al1 0.0000 0.0000 0.0000  6 V 2.18
V1 0.0000 0.5000 0.0000  2 Al 2.18
V2 0.0000 0.0000 0.5000  2 Al 2.18
V3 0.5000 0.0000 0.0000  2 Al 2.18



DFT (PBE-GGA) results for a relaxed structure of RbTb2OsO8.

Computed properties:
formation energy without anion corrections	-1.982	eV/atom
N(E_F)	2.557	states/eV per cell
total DFT energy (no corrections)	-7.076	eV per atom

Cell: 5.2266 4.3685 7.4485 Å, 74.09 91.18 92.59°
With the nearest neighbours (Å) after each atom.
Fractional positions:
Rb1 0.0000 0.0000 0.5000  10 O 2.87-3.06
Tb1 0.4758 0.3933 0.8017  7 O 2.29-2.49
Tb2 0.5242 0.6067 0.1983  7 O 2.29-2.49
Os1 0.0000 0.0000 0.0000  6 O 1.85-1.99
O1 0.9718 0.6571 0.2209  1 Os 1.90
O2 0.7739 0.7840 0.8779  1 Os 1.85
O3 0.6922 0.1661 0.0891  1 Os 1.99
O4 0.0282 0.3429 0.7791  1 Os 1.90
O5 0.2261 0.2160 0.1221  1 Os 1.85
O6 0.3078 0.8339 0.9109  1 Os 1.99
O7 0.4951 0.6772 0.4900  1 O 1.52
O8 0.5049 0.3228 0.5100  1 O 1.52



Question: What is the formula in the fourth record?
Answer: RbTb2OsO8



Question: What is the total DFT energy (no corrections) in the third record?
Answer: -6.866 eV per atom



Question: Number 2 is which compound?
Answer: Dy3Y6Mg